# PBE ScTc2Pt, relaxed
# magnetization = 0.99 μB/f.u.
# DOS(E_F) = 5.602 states/eV/f.u.
# energy relative to the elements = 0.279 eV per atom
# offset from the most stable computed form = 610 meV per atom
data_ScTc2Pt
_chemical_formula_sum 'Sc4 Tc8 Pt4'
_cell_length_a 7.519
_cell_length_b 7.519
_cell_length_c 5.063
_cell_angle_alpha 90.00
_cell_angle_beta 90.00
_cell_angle_gamma 90.00
_symmetry_space_group_name_H-M 'I -4 2 d'
_symmetry_Int_Tables_number 122
_symmetry_space_group_name_Hall 'I -4 2bw'
loop_
_atom_site_label
_atom_site_type_symbol
_atom_site_fract_x
_atom_site_fract_y
_atom_site_fract_z
_atom_site_occupancy
Sc1 Sc 0.000 0.000 0.000 1
Tc1 Tc 0.223 0.750 0.625 1
Pt1 Pt 0.000 0.000 0.500 1